Entry 1:
The following is a DFT calculation (PBE-GGA) of crystalline Tb2RuO at its relaxed geometry.

Properties
E_tot: -7.290 eV per atom
Formation energy (no corrections): -1.416 eV per atom
E above lowest polymorph: 0 meV/atom

Unit cell a=3.4490 b=3.4490 c=21.1477 alpha=90.00 beta=90.00 gamma=120.00
Last column: nearest neighbours and their distance in Å.
Space group R-3m (No. 166, hexagonal axes)
Unique sites:
Tb1 0.0000 0.0000 0.2381 x6  3 O 2.50
Ru1 0.0000 0.0000 0.0000 x3  6 Tb 2.83
O1 0.0000 0.0000 0.5000 x3  6 Tb 2.50

---

Entry 2:
The following is a DFT calculation (PBE-GGA) of crystalline Tl4In7Sn at its relaxed geometry.

Properties
E_tot: -2.300 eV per atom
Calculated formation energy: 0.4197 eV/atom

Unit cell a=13.0943 b=13.0943 c=13.0943 alpha=90.00 beta=90.00 gamma=90.00
Last column: nearest neighbours and their distance in Å.
Space group F-43m (No. 216)
Unique sites:
Tl1 0.1192 0.1192 0.3808 x16  4 In 2.97-3.00
In1 0.0000 0.0000 0.2256 x24  1 Sn 2.95, 2 Tl 3.00
In2 0.2500 0.2500 0.2500 x4  4 Tl 2.97
Sn1 0.0000 0.0000 0.0000 x4  6 In 2.95

---

Entry 3:
The following is a DFT calculation (PBE-GGA) of crystalline BaTcPt2 at its relaxed geometry.

Properties
E_tot: -5.730 eV per atom
Calculated formation energy: 0.3625 eV/atom
E above lowest polymorph: 570 meV/atom

Unit cell a=2.9702 b=5.2462 c=10.6543 alpha=90.00 beta=90.00 gamma=90.00
Last column: nearest neighbours and their distance in Å.
Space group Imm2 (No. 44)
Unique sites:
Ba1 0.0000 0.0000 0.0000 x2  2 Ba 2.97, 6 Pt 3.02-3.30
Tc1 0.0000 0.5000 0.7829 x2  2 Pt 2.69, 2 Tc 2.97
Pt1 0.0000 0.0000 0.4932 x2  2 Tc 2.69, 4 Pt 2.87-2.97
Pt2 0.0000 0.5000 0.2236 x2  4 Pt 2.87-2.97, 4 Tc 3.08

---

Entry 4:
The following is a DFT calculation (PBE-GGA) of crystalline Ce2Ga4Au3 at its relaxed geometry.

Properties
E_tot: -4.300 eV per atom
Calculated formation energy: -0.5441 eV/atom

Unit cell a=6.0552 b=15.4941 c=7.8003 alpha=90.00 beta=90.00 gamma=90.00
Last column: nearest neighbours and their distance in Å.
Space group Cmce (No. 64)
Unique sites:
Ce1 0.0000 0.1089 0.0889 x8  8 Ga 3.15-3.44, 2 Au 3.20
Ga1 0.0000 0.1762 0.4772 x8  5 Au 2.73-2.76
Ga2 0.2500 0.0577 0.7500 x8  3 Au 2.63-2.64
Au1 0.0000 0.0000 0.5000 x4  6 Ga 2.63-2.74
Au2 0.2500 0.2282 0.7500 x8  5 Ga 2.64-2.76

---

Entry 5:
The following is a DFT calculation (PBE-GGA) of crystalline LiLa2Nd at its relaxed geometry.

Properties
E_tot: -4.047 eV per atom
Calculated formation energy: 0.0870 eV/atom
E above lowest polymorph: 30 meV/atom

Unit cell a=3.6616 b=3.6616 c=35.0175 alpha=90.00 beta=90.00 gamma=120.00
Last column: nearest neighbours and their distance in Å.
Space group R3m (No. 160, hexagonal axes)
Unique sites:
Li1 0.0000 0.0000 0.0000 x3  6 La 3.51-3.53, 6 Li 3.66
La1 0.0000 0.0000 0.4142 x3  3 Li 3.53, 6 La 3.66, 3 Nd 3.69
La2 0.0000 0.0000 0.5865 x3  3 Li 3.51, 6 La 3.66, 3 Nd 3.68
Nd1 0.0000 0.0000 0.1673 x3  6 Nd 3.66, 6 La 3.68-3.69

---

Entry 6:
The following is a DFT calculation (PBE-GGA) of crystalline Rb2Nb2Si2O11 at its relaxed geometry.

Properties
E_tot: -7.584 eV per atom
Formation energy (no corrections): -2.439 eV per atom

Unit cell a=7.4548 b=7.4548 c=39.6049 alpha=90.00 beta=90.00 gamma=90.00
Last column: nearest neighbours and their distance in Å.
Space group P4_122 (No. 91)
Unique sites:
Rb1 0.0000 0.1174 0.0000 x4  6 O 2.96-3.09
Rb2 0.0592 0.4930 0.6756 x8  2 O 2.77-3.00
Rb3 0.4495 0.4495 0.3750 x4  3 O 2.86-3.00
Nb1 0.0006 0.2297 0.4113 x8  6 O 1.89-2.09
Nb2 0.0016 0.2640 0.0932 x8  6 O 1.88-2.10
Si1 0.2819 0.4988 0.5410 x8  4 O 1.63-1.65
Si2 0.2855 0.4983 0.4590 x8  4 O 1.63-1.66
O1 0.0024 0.0077 0.0718 x8  2 Nb 1.89-2.09
O2 0.0052 0.4940 0.3934 x8  2 Nb 1.88-2.09
O3 0.0936 0.4169 0.2496 x8  1 O 1.24
O4 0.1780 0.1780 0.3750 x4  2 Nb 1.99
O5 0.1830 0.1884 0.1261 x8  2 Nb 1.96-2.01
O6 0.1899 0.1899 0.8750 x4  2 Nb 1.98
O7 0.1943 0.3188 0.9435 x8  1 Si 1.63
O8 0.1947 0.3161 0.5564 x8  1 Si 1.63
O9 0.1994 0.3193 0.0570 x8  1 Si 1.63
O10 0.2019 0.3158 0.4427 x8  1 Si 1.63
O11 0.2610 0.4969 0.0001 x8  2 Si 1.63-1.64
O12 0.4982 0.4987 0.9496 x8  2 Si 1.65-1.66

---

- Which of these has the highest E_tot?
  Tl4In7Sn